(1)
First-principles (PBE-GGA) data for a relaxed Sr3Tl3Hg2 crystal, as listed in Alexandria via LeMat-Bulk. Values from VASP.

Geometry as Quantum ESPRESSO input:
```
&SYSTEM
  ibrav = 0, nat = 16, ntyp = 3
/
ATOMIC_SPECIES
Sr 87.62 Sr.upf
Tl 204.38 Tl.upf
Hg 200.59 Hg.upf
CELL_PARAMETERS angstrom
2.493 -6.096 0.000
2.493 6.096 0.000
0.000 0.000 17.096
ATOMIC_POSITIONS crystal
Sr 0.086 0.914 0.606
Sr 0.086 0.914 0.894
Sr 0.352 0.648 0.750
Sr 0.648 0.352 0.250
Sr 0.914 0.086 0.106
Sr 0.914 0.086 0.394
Tl 0.368 0.632 0.250
Tl 0.380 0.620 0.537
Tl 0.380 0.620 0.963
Tl 0.620 0.380 0.037
Tl 0.620 0.380 0.463
Tl 0.632 0.368 0.750
Hg 0.207 0.793 0.111
Hg 0.207 0.793 0.389
Hg 0.793 0.207 0.611
Hg 0.793 0.207 0.889
```

Calculated values
SG   Cmcm (63)
Energy of formation   -3.2 eV/f.u.
Crystal system   orthorhombic
Mass density   8.2 g/cm3
Offset from the most stable computed form   0.000 eV/atom

(2)
First-principles (PBE-GGA) data for a relaxed Sr6TlHg2 crystal, as listed in Alexandria via LeMat-Bulk. Values from VASP.

Geometry as Quantum ESPRESSO input:
```
&SYSTEM
  ibrav = 0, nat = 18, ntyp = 3
/
ATOMIC_SPECIES
Sr 87.62 Sr.upf
Tl 204.38 Tl.upf
Hg 200.59 Hg.upf
CELL_PARAMETERS angstrom
-5.357 5.685 5.928
5.357 -5.685 5.928
5.357 5.685 -5.928
ATOMIC_POSITIONS crystal
Sr 0.058 0.247 0.812
Sr 0.176 0.277 0.453
Sr 0.176 0.723 0.899
Sr 0.338 0.039 0.702
Sr 0.338 0.636 0.298
Sr 0.435 0.247 0.188
Sr 0.565 0.753 0.812
Sr 0.662 0.364 0.702
Sr 0.662 0.961 0.298
Sr 0.824 0.277 0.101
Sr 0.824 0.723 0.547
Sr 0.942 0.753 0.188
Tl 0.000 0.000 0.000
Tl 0.500 0.500 0.000
Hg 0.132 0.632 0.500
Hg 0.334 0.000 0.334
Hg 0.666 0.000 0.666
Hg 0.868 0.368 0.500
```

Calculated values
SG   Immm (71)
Energy of formation   -3.0 eV/f.u.
Crystal system   orthorhombic
Mass density   5.2 g/cm3

(3)
First-principles (PBE-GGA) data for a relaxed Sr5Tl5Hg2 crystal, as listed in Alexandria via LeMat-Bulk. Values from VASP.

Geometry as Quantum ESPRESSO input:
```
&SYSTEM
  ibrav = 0, nat = 12, ntyp = 3
/
ATOMIC_SPECIES
Sr 87.62 Sr.upf
Tl 204.38 Tl.upf
Hg 200.59 Hg.upf
CELL_PARAMETERS angstrom
8.853 -2.544 0.000
8.853 2.544 0.000
-7.553 0.000 9.005
ATOMIC_POSITIONS crystal
Sr 0.000 0.000 0.000
Sr 0.117 0.117 0.424
Sr 0.180 0.180 0.822
Sr 0.820 0.820 0.178
Sr 0.883 0.883 0.576
Tl 0.258 0.258 0.296
Tl 0.435 0.435 0.140
Tl 0.500 0.500 0.500
Tl 0.565 0.565 0.860
Tl 0.742 0.742 0.704
Hg 0.354 0.354 0.752
Hg 0.646 0.646 0.248
```

Calculated values
SG   C2/m (12)
Energy of formation   -4.4 eV/f.u.
Crystal system   monoclinic
Mass density   7.6 g/cm3

(4)
First-principles (PBE-GGA) data for a relaxed Sr3Tl7Hg2 crystal, as listed in Alexandria via LeMat-Bulk. Values from VASP.

Geometry as Quantum ESPRESSO input:
```
&SYSTEM
  ibrav = 0, nat = 12, ntyp = 3
/
ATOMIC_SPECIES
Sr 87.62 Sr.upf
Tl 204.38 Tl.upf
Hg 200.59 Hg.upf
CELL_PARAMETERS angstrom
5.297 0.000 0.000
0.000 4.274 0.000
-2.193 0.000 17.054
ATOMIC_POSITIONS crystal
Sr 0.000 0.000 0.000
Sr 0.307 0.500 0.647
Sr 0.693 0.500 0.353
Tl 0.082 0.500 0.157
Tl 0.233 0.000 0.459
Tl 0.404 0.000 0.834
Tl 0.500 0.500 0.000
Tl 0.596 0.000 0.166
Tl 0.767 0.000 0.541
Tl 0.918 0.500 0.843
Hg 0.171 0.000 0.286
Hg 0.829 0.000 0.714
```

Calculated values
SG   P2/m (10)
Energy of formation   -2.9 eV/f.u.
Crystal system   monoclinic
Mass density   9.0 g/cm3

(5)
First-principles (PBE-GGA) data for a relaxed Sr6Tl2Hg crystal, as listed in Alexandria via LeMat-Bulk. Values from VASP.

Geometry as Quantum ESPRESSO input:
```
&SYSTEM
  ibrav = 0, nat = 18, ntyp = 3
/
ATOMIC_SPECIES
Sr 87.62 Sr.upf
Tl 204.38 Tl.upf
Hg 200.59 Hg.upf
CELL_PARAMETERS angstrom
-5.222 5.697 6.332
5.222 -5.697 6.332
5.222 5.697 -6.332
ATOMIC_POSITIONS crystal
Sr 0.044 0.238 0.806
Sr 0.178 0.283 0.460
Sr 0.178 0.717 0.895
Sr 0.342 0.042 0.699
Sr 0.342 0.643 0.301
Sr 0.432 0.238 0.194
Sr 0.568 0.762 0.806
Sr 0.658 0.357 0.699
Sr 0.658 0.958 0.301
Sr 0.822 0.283 0.105
Sr 0.822 0.717 0.540
Sr 0.956 0.762 0.194
Tl 0.133 0.633 0.500
Tl 0.333 0.000 0.333
Tl 0.667 0.000 0.667
Tl 0.867 0.367 0.500
Hg 0.000 0.000 0.000
Hg 0.500 0.500 0.000
```

Calculated values
SG   Immm (71)
Energy of formation   -2.4 eV/f.u.
Crystal system   orthorhombic
Mass density   5.0 g/cm3
Offset from the most stable computed form   0.019 eV/atom

(6)
First-principles (PBE-GGA) data for a relaxed Sr2Tl2Hg crystal, as listed in Alexandria via LeMat-Bulk. Values from VASP.

Geometry as Quantum ESPRESSO input:
```
&SYSTEM
  ibrav = 0, nat = 10, ntyp = 3
/
ATOMIC_SPECIES
Sr 87.62 Sr.upf
Tl 204.38 Tl.upf
Hg 200.59 Hg.upf
CELL_PARAMETERS angstrom
6.145 -2.453 0.000
6.145 2.453 0.000
-5.400 0.000 11.107
ATOMIC_POSITIONS crystal
Sr 0.009 0.009 0.332
Sr 0.184 0.184 0.111
Sr 0.816 0.816 0.889
Sr 0.991 0.991 0.668
Tl 0.354 0.354 0.444
Tl 0.462 0.462 0.109
Tl 0.538 0.538 0.891
Tl 0.646 0.646 0.556
Hg 0.286 0.286 0.671
Hg 0.714 0.714 0.329
```

Calculated values
SG   C2/m (12)
Energy of formation   -2.0 eV/f.u.
Crystal system   monoclinic
Mass density   7.8 g/cm3
Offset from the most stable computed form   0.000 eV/atom

(7)
First-principles (PBE-GGA) data for a relaxed SrTl4Hg crystal, as listed in Alexandria via LeMat-Bulk. Values from VASP.

Geometry as Quantum ESPRESSO input:
```
&SYSTEM
  ibrav = 0, nat = 12, ntyp = 3
/
ATOMIC_SPECIES
Sr 87.62 Sr.upf
Tl 204.38 Tl.upf
Hg 200.59 Hg.upf
CELL_PARAMETERS angstrom
3.380 -9.726 0.000
3.380 9.726 0.000
-0.839 0.000 5.637
ATOMIC_POSITIONS crystal
Sr 0.121 0.879 0.750
Sr 0.879 0.121 0.250
Tl 0.047 0.466 0.758
Tl 0.224 0.307 0.791
Tl 0.307 0.224 0.291
Tl 0.466 0.047 0.258
Tl 0.534 0.953 0.742
Tl 0.693 0.776 0.709
Tl 0.776 0.693 0.209
Tl 0.953 0.534 0.242
Hg 0.371 0.629 0.250
Hg 0.629 0.371 0.750
```

Calculated values
SG   C2/c (15)
Energy of formation   -1.0 eV/f.u.
Crystal system   monoclinic
Mass density   9.9 g/cm3
Offset from the most stable computed form   0.013 eV/atom

(8)
First-principles (PBE-GGA) data for a relaxed SrY2Tl2Hg2 crystal, as listed in Alexandria via LeMat-Bulk. Values from VASP.

Geometry as Quantum ESPRESSO input:
```
&SYSTEM
  ibrav = 0, nat = 7, ntyp = 4
/
ATOMIC_SPECIES
Sr 87.62 Sr.upf
Y 88.91 Y.upf
Tl 204.38 Tl.upf
Hg 200.59 Hg.upf
CELL_PARAMETERS angstrom
2.534 1.463 9.492
-2.534 1.463 9.492
0.000 -2.926 9.492
ATOMIC_POSITIONS crystal
Sr 0.000 0.000 0.000
Y 0.135 0.135 0.135
Y 0.865 0.865 0.865
Tl 0.261 0.261 0.261
Tl 0.739 0.739 0.739
Hg 0.442 0.442 0.442
Hg 0.558 0.558 0.558
```

Calculated values
SG   R-3m (166)
Energy of formation   -2.0 eV/f.u.
Crystal system   trigonal
Mass density   8.5 g/cm3

(9)
First-principles (PBE-GGA) data for a relaxed SrYTlHg2 crystal, as listed in Alexandria via LeMat-Bulk. Values from VASP.

Geometry as Quantum ESPRESSO input:
```
&SYSTEM
  ibrav = 0, nat = 5, ntyp = 4
/
ATOMIC_SPECIES
Sr 87.62 Sr.upf
Y 88.91 Y.upf
Tl 204.38 Tl.upf
Hg 200.59 Hg.upf
CELL_PARAMETERS angstrom
5.734 0.000 0.000
0.000 5.734 0.000
0.000 0.000 5.852
ATOMIC_POSITIONS crystal
Sr 0.000 0.000 0.000
Y 0.500 0.500 0.500
Tl 0.500 0.500 0.000
Hg 0.000 0.500 0.500
Hg 0.500 0.000 0.500
```

Calculated values
SG   P4/mmm (123)
Energy of formation   0.1 eV/f.u.
Crystal system   tetragonal
Mass density   6.7 g/cm3

(10)
First-principles (PBE-GGA) data for a relaxed Sr2Tl2ZnHg4 crystal, as listed in Alexandria via LeMat-Bulk. Values from VASP.

Geometry as Quantum ESPRESSO input:
```
&SYSTEM
  ibrav = 0, nat = 9, ntyp = 4
/
ATOMIC_SPECIES
Sr 87.62 Sr.upf
Tl 204.38 Tl.upf
Zn 65.41 Zn.upf
Hg 200.59 Hg.upf
CELL_PARAMETERS angstrom
-3.547 3.547 5.078
3.547 -3.547 5.078
3.547 3.547 -5.078
ATOMIC_POSITIONS crystal
Sr 0.250 0.750 0.500
Sr 0.750 0.250 0.500
Tl 0.216 0.216 0.000
Tl 0.784 0.784 0.000
Zn 0.500 0.500 0.000
Hg 0.230 0.230 0.460
Hg 0.230 0.770 0.000
Hg 0.770 0.230 0.000
Hg 0.770 0.770 0.540
```

Calculated values
SG   I4/mmm (139)
Energy of formation   -2.3 eV/f.u.
Crystal system   tetragonal
Mass density   9.4 g/cm3

(11)
First-principles (PBE-GGA) data for a relaxed SrTlZnHg2 crystal, as listed in Alexandria via LeMat-Bulk. Values from VASP.

Geometry as Quantum ESPRESSO input:
```
&SYSTEM
  ibrav = 0, nat = 5, ntyp = 4
/
ATOMIC_SPECIES
Sr 87.62 Sr.upf
Tl 204.38 Tl.upf
Zn 65.41 Zn.upf
Hg 200.59 Hg.upf
CELL_PARAMETERS angstrom
5.292 0.000 0.000
0.000 5.292 0.000
0.000 0.000 5.309
ATOMIC_POSITIONS crystal
Sr 0.000 0.000 0.000
Tl 0.500 0.500 0.000
Zn 0.500 0.500 0.500
Hg 0.000 0.500 0.500
Hg 0.500 0.000 0.500
```

Calculated values
SG   P4/mmm (123)
Energy of formation   -0.6 eV/f.u.
Crystal system   tetragonal
Mass density   8.5 g/cm3

| no. | size of the total moment (μB/f.u.) |
| --- | --- |
| 1 | 0.000 |
| 2 | 0.000 |
| 3 | 0.000 |
| 4 | 0.000 |
| 5 | 0.001 |
| 6 | 0.000 |
| 7 | 0.000 |
| 8 | 0.000 |
| 9 | 0.000 |
| 10 | 0.000 |
| 11 | 0.000 |